[1]
VASP calculation (PBE) on a relaxed ZnO crystal.

Structure (POSCAR):
```
ZnO
1.0
-5.336 2.337 5.629
-2.573 3.621 6.774
-4.282 5.201 4.499
O Zn
3 3
Direct
0.471 0.471 0.471
0.693 0.693 0.693
0.915 0.915 0.915
0.555 0.555 0.555
0.777 0.777 0.777
0.999 0.999 0.999
```

Output
As for the symmetry: R3m (160). The mass density is 5.6 g cm⁻³. The total energy is -4.543 eV/atom.


[2]
VASP calculation (PBE) on a relaxed PmGePO crystal.

Structure (POSCAR):
```
PmGePO
1.0
3.841 0.000 0.000
0.000 6.077 0.000
0.000 0.000 6.986
Ge O P Pm
2 2 2 2
Direct
0.000 0.889 0.076
0.000 0.111 0.576
0.000 0.720 0.302
0.000 0.280 0.802
0.500 0.250 0.399
0.500 0.750 0.899
0.500 0.725 0.477
0.500 0.275 0.977
```

Output
As for the symmetry: Pmc2_1 (26). The distance to the lowest polymorph of the same formula comes out at 0.063 eV/atom. The mass density is 5.4 g cm⁻³.